NiMoPt2 | PBE | relaxed

Computed properties:
energy relative to the elements = -99 meV/atom
calculated total energy = -29.1 eV per cell
volume = 58.5 Å³ per cell
ΔE to the lowest computed polymorph = 0.79 eV/f.u.
Fermi-level density of states = 0.872 states/eV per atom
space group = P4/mmm

a = 3.877 Å, b = 3.875 Å, c = 3.896 Å
α = 90.00°, β = 90.00°, γ = 90.00°
Last column: magnetic moment on the atom in μB.
Fractional coordinates of all 4 atoms:
Pt1 0.500 0.500 0.000  0.11
Pt2 0.000 0.000 0.000  0.11
Mo1 0.500 0.000 0.500  1.29
Ni1 0.000 0.500 0.500  0.27


BaAg4 | PBE | relaxed

Computed properties:
energy relative to the elements = 1085 meV/atom
calculated total energy = -7.9 eV per cell
volume = 226.7 Å³ per cell
Fermi-level density of states = 0.796 states/eV per atom
space group = Pm-3m

a = 6.097 Å, b = 6.097 Å, c = 6.097 Å
α = 90.00°, β = 90.00°, γ = 90.00°
Fractional coordinates of all 5 atoms:
Ag1 0.500 0.000 0.500
Ag2 0.000 0.000 0.000
Ba1 0.500 0.500 0.500
Ag3 0.500 0.500 0.000
Ag4 0.000 0.500 0.500


Hf2TcRh | PBE | relaxed

Computed properties:
energy relative to the elements = -785 meV/atom
calculated total energy = -40.8 eV per cell
volume = 69.2 Å³ per cell
ΔE to the lowest computed polymorph = 0.07 eV/f.u.
Fermi-level density of states = 0.402 states/eV per atom
space group = Fm-3m

a = 4.608 Å, b = 4.608 Å, c = 4.608 Å
α = 60.00°, β = 60.00°, γ = 60.00°
Fractional coordinates of all 4 atoms:
Hf1 0.750 0.750 0.750
Rh1 0.500 0.500 0.500
Tc1 0.000 0.000 0.000
Hf2 0.250 0.250 0.250


KScIn2 | PBE | relaxed

Computed properties:
energy relative to the elements = 232 meV/atom
calculated total energy = -12.0 eV per cell
volume = 112.3 Å³ per cell
ΔE to the lowest computed polymorph = 1.72 eV/f.u.
Fermi-level density of states = 1.094 states/eV per atom
space group = F-43m

a = 5.416 Å, b = 5.416 Å, c = 5.416 Å
α = 60.00°, β = 60.00°, γ = 60.00°
Last column: magnetic moment on the atom in μB.
Fractional coordinates of all 4 atoms:
In1 0.000 0.000 0.000  0.03
In2 0.250 0.250 0.250  0.03
K1 0.500 0.500 0.500  0.02
Sc1 0.750 0.750 0.750  0.55